{"formula": "TaAlCo2", "functional": "GGA-PBE", "state": "optimized geometry", "cell": [[-3.0452, -2.8133, -0.8551], [0.3360, -3.9770, 1.4103], [-2.5442, -1.3709, 3.0930]], "species": ["Co", "Co", "Al", "Ta"], "fractional_positions": [[0.0000, 0.0000, 0.0000], [0.7500, 0.7500, 0.7500], [0.5000, 0.5000, 0.5000], [0.2500, 0.2500, 0.2500]], "space_group": "No. 216", "crystal_system": "cubic", "m_tot_mub_per_cell": 1.9, "formation_energy_kj_per_mol_atoms": -2.3}